Er8FeSn2 (GGA-PBE, relaxed); ΔH_f (0 K) = -0.272 eV per atom; crystal system = orthorhombic; total moment = 0.0 μB/f.u.
1.0
-2.7216 3.4192 7.7500
2.7216 -3.4192 7.7500
2.7216 3.4192 -7.7500
Er Fe Sn
8 1 2
Direct
0.1391 0.3789 0.7602
0.1928 0.1928 0.0000
0.2422 0.0000 0.2422
0.3814 0.6211 0.7602
0.6186 0.3789 0.2398
0.7578 0.0000 0.7578
0.8072 0.8072 0.0000
0.8609 0.6211 0.2398
0.0000 0.5000 0.5000
0.3140 0.8140 0.5000
0.6860 0.1860 0.5000